Tb3SmCd6: optimized geometry, PBE-GGA.

Computed properties:
The formation energy comes out at -0.293 eV per atom. The value obtained for the total magnetization is 0.0 μB/cell.

abc: 9.2610 5.1853 11.1277
angles: 90.00 105.72 90.00
Sites, in units of the cell vectors:
Tb 0.0266 0.2500 0.3922
Tb 0.1492 0.7500 0.2056
Tb 0.2617 0.2500 0.0014
Tb 0.7383 0.7500 0.9986
Tb 0.8508 0.2500 0.7944
Tb 0.9734 0.7500 0.6078
Sm 0.4423 0.2500 0.6096
Sm 0.5577 0.7500 0.3904
Cd 0.0488 0.7500 0.9055
Cd 0.1558 0.2500 0.7086
Cd 0.2556 0.7500 0.5001
Cd 0.3462 0.2500 0.3043
Cd 0.3557 0.7500 0.8049
Cd 0.4475 0.7500 0.0975
Cd 0.5525 0.2500 0.9025
Cd 0.6443 0.2500 0.1951
Cd 0.6538 0.7500 0.6957
Cd 0.7444 0.2500 0.4999
Cd 0.8442 0.7500 0.2914
Cd 0.9512 0.2500 0.0945